Material: PrY2NpP4
Method: DFT, PBE
State: relaxed

```
8
Lattice="-1.958 -0.812 -3.440 -5.505 -2.322 3.681 -0.737 6.854 -1.198" Properties=species:S:1:pos:R:3 pbc="T T T"
Pr 0.000 0.000 0.000
Y -1.347 3.021 -2.319
Y -3.121 2.266 1.241
Np -3.731 -1.567 0.120
P -2.606 0.727 -1.062
P -5.594 2.993 0.104
P -1.977 4.546 0.052
P -4.264 -0.014 2.430
```

Summary:
**Crystal system**: monoclinic
**Calculated formation energy**: -1072 kJ/mol of formula units
**Calculated volume**: 187.21 Å³/cell
**D(E_F)**: 1.351 states/eV/atom